## SrVI2O (PBE+U)

Data for SrVI2O after structural relaxation.

Lattice parameters (Å, degrees): 5.970 5.970 3.841 90.00 90.00 90.00
Element x y z (fractional)
Sr 0.000 0.000 0.000
V 0.500 0.500 0.500
I 0.000 0.500 0.500
I 0.500 0.000 0.500
O 0.500 0.500 0.000

Results
Space-group type = P4/mmm
Raw total energy = -22.67 eV/cell
ΔE to the lowest computed polymorph = 0 meV per atom